[1]
Entry from Alexandria: crystalline Li4Tl2H at its relaxed geometry (GGA-PBE).

Geometry as POSCAR:
```
Li4Tl2H
1.0
4.024 0.000 0.000
0.000 4.024 0.000
0.000 0.000 14.553
Li Tl H
8 4 2
direct
0.000 0.000 0.133
0.000 0.000 0.867
0.000 0.500 0.000
0.000 0.500 0.500
0.500 0.000 0.000
0.500 0.000 0.500
0.500 0.500 0.367
0.500 0.500 0.633
0.000 0.000 0.325
0.000 0.000 0.675
0.500 0.500 0.175
0.500 0.500 0.825
0.000 0.000 0.000
0.500 0.500 0.500
```

Properties
SG = I4/mmm
Calculated volume = 235.6 Å³/cell
Total moment = 0.00 μB per atom
Calculated total energy = -2.414 eV per atom
Crystal system = tetragonal


[2]
Entry from Alexandria: crystalline Ac2ZnAg at its relaxed geometry (GGA-PBE).

Geometry as POSCAR:
```
Ac2ZnAg
1.0
3.845 0.000 0.000
-1.923 3.330 0.000
0.000 0.000 33.186
Ac Zn Ag
6 3 3
direct
0.000 0.000 0.095
0.000 0.000 0.905
0.333 0.667 0.571
0.333 0.667 0.762
0.667 0.333 0.238
0.667 0.333 0.429
0.000 0.000 0.500
0.333 0.667 0.167
0.667 0.333 0.833
0.000 0.000 0.000
0.333 0.667 0.667
0.667 0.333 0.333
```

Properties
SG = R-3m
Calculated volume = 425.0 Å³/cell
Total moment = 0.00 μB per atom
Calculated total energy = -2.836 eV per atom
Crystal system = trigonal


- Look up the total moment of the first one.
  0.00 μB per atom